Entry 1:
TeC2 after structural relaxation, computed with PBE-GGA.

```
data_TeC2
_symmetry_space_group_name_H-M 'P -3 1 m'
_symmetry_Int_Tables_number 162
_symmetry_space_group_name_Hall '-P 3 2'
_cell_length_a 6.1347
_cell_length_b 6.1347
_cell_length_c 4.0284
_cell_angle_alpha 90.00
_cell_angle_beta 90.00
_cell_angle_gamma 120.00
loop_
_atom_site_label
_atom_site_fract_x
_atom_site_fract_y
_atom_site_fract_z
_atom_site_occupancy
Te1 0.0000 0.0000 0.0000 1
Te2 0.3333 0.6667 0.5000 1
C1 0.0000 0.4398 0.1379 1
```

Values from the calculation:
DOS(E_F) in states/eV/atom: 0.3880
ΔE_f (raw) in eV per formula unit: 4.8
Energy above the lowest structure with this stoichiometry in eV/atom: 0.669
Energy in eV per atom: -5.61

Entry 2:
TeC after structural relaxation, computed with PBE-GGA.

```
data_TeC
_symmetry_space_group_name_H-M 'I m m 2'
_symmetry_Int_Tables_number 44
_cell_length_a 3.3857
_cell_length_b 11.5472
_cell_length_c 5.5421
_cell_angle_alpha 90.00
_cell_angle_beta 90.00
_cell_angle_gamma 90.00
loop_
_symmetry_equiv_pos_as_xyz
'x,y,z'
'-x,-y,z'
'-x,y,z'
'x,-y,z'
'x+1/2,y+1/2,z+1/2'
'-x+1/2,-y+1/2,z+1/2'
'-x+1/2,y+1/2,z+1/2'
'x+1/2,-y+1/2,z+1/2'
loop_
_atom_site_label
_atom_site_fract_x
_atom_site_fract_y
_atom_site_fract_z
_atom_site_occupancy
Te1 0.0000 0.0000 0.0000 1
Te2 0.0000 0.1772 0.4660 1
C1 0.0000 0.2074 0.0735 1
C2 0.0000 0.5000 0.7533 1
```

Values from the calculation:
DOS(E_F) in states/eV/atom: 0.0640
ΔE_f (raw) in eV per formula unit: 3.2
Energy above the lowest structure with this stoichiometry in eV/atom: 0.844
Energy in eV per atom: -4.58

Entry 3:
TeC after structural relaxation, computed with PBE-GGA.

```
data_TeC
_symmetry_space_group_name_H-M 'P -6 m 2'
_symmetry_Int_Tables_number 187
_symmetry_space_group_name_Hall 'P -6 2'
_cell_length_a 3.3615
_cell_length_b 3.3615
_cell_length_c 3.2447
_cell_angle_alpha 90.00
_cell_angle_beta 90.00
_cell_angle_gamma 120.00
loop_
_atom_site_label
_atom_site_fract_x
_atom_site_fract_y
_atom_site_fract_z
_atom_site_occupancy
Te1 0.0000 0.0000 0.0000 1
C1 0.6667 0.3333 0.5000 1
```

Values from the calculation:
DOS(E_F) in states/eV/atom: 0.2881
ΔE_f (raw) in eV per formula unit: 4.1
Energy above the lowest structure with this stoichiometry in eV/atom: 1.317
Energy in eV per atom: -4.11

Entry 4:
Te2C after structural relaxation, computed with PBE-GGA.

```
data_Te2C
_symmetry_space_group_name_H-M 'C m m m'
_symmetry_Int_Tables_number 65
_symmetry_space_group_name_Hall '-C 2 2'
_cell_length_a 8.5574
_cell_length_b 12.2321
_cell_length_c 3.2647
_cell_angle_alpha 90.00
_cell_angle_beta 90.00
_cell_angle_gamma 90.00
loop_
_atom_site_label
_atom_site_fract_x
_atom_site_fract_y
_atom_site_fract_z
_atom_site_occupancy
Te1 0.0000 0.0000 0.0000 1
Te2 0.0000 0.2379 0.5000 1
Te3 0.0000 0.5000 0.5000 1
C1 0.0000 0.3557 0.0000 1
```

Values from the calculation:
DOS(E_F) in states/eV/atom: 0.4685
ΔE_f (raw) in eV per formula unit: 4.1
Energy above the lowest structure with this stoichiometry in eV/atom: 0.653
Energy in eV per atom: -3.79

Entry 5:
Te2C after structural relaxation, computed with PBE-GGA.

```
data_Te2C
_symmetry_space_group_name_H-M 'I m m m'
_symmetry_Int_Tables_number 71
_symmetry_space_group_name_Hall '-I 2 2'
_cell_length_a 3.2374
_cell_length_b 6.6147
_cell_length_c 15.1721
_cell_angle_alpha 90.00
_cell_angle_beta 90.00
_cell_angle_gamma 90.00
loop_
_atom_site_label
_atom_site_fract_x
_atom_site_fract_y
_atom_site_fract_z
_atom_site_occupancy
Te1 0.0000 0.0000 0.1373 1
Te2 0.0000 0.5000 0.1469 1
C1 0.0000 0.5000 0.4562 1
```

Values from the calculation:
DOS(E_F) in states/eV/atom: 0.1983
ΔE_f (raw) in eV per formula unit: 2.2
Energy above the lowest structure with this stoichiometry in eV/atom: 0.000
Energy in eV per atom: -4.44

Entry 6:
TeC2 after structural relaxation, computed with PBE-GGA.

```
data_TeC2
_symmetry_space_group_name_H-M 'I m m m'
_symmetry_Int_Tables_number 71
_symmetry_space_group_name_Hall '-I 2 2'
_cell_length_a 3.1365
_cell_length_b 5.6665
_cell_length_c 6.8615
_cell_angle_alpha 90.00
_cell_angle_beta 90.00
_cell_angle_gamma 90.00
loop_
_atom_site_label
_atom_site_fract_x
_atom_site_fract_y
_atom_site_fract_z
_atom_site_occupancy
Te1 0.0000 0.0000 0.0000 1
C1 0.0000 0.3887 0.0000 1
```

Values from the calculation:
DOS(E_F) in states/eV/atom: 0.4144
ΔE_f (raw) in eV per formula unit: 5.3
Energy above the lowest structure with this stoichiometry in eV/atom: 0.841
Energy in eV per atom: -5.44

Entry 7:
Te2C after structural relaxation, computed with PBE-GGA.

```
data_Te2C
_symmetry_space_group_name_H-M 'I 41/a m d'
_symmetry_Int_Tables_number 141
_cell_length_a 3.3153
_cell_length_b 3.3153
_cell_length_c 23.7075
_cell_angle_alpha 90.00
_cell_angle_beta 90.00
_cell_angle_gamma 90.00
loop_
_symmetry_equiv_pos_as_xyz
'x,y,z'
'-x,-y,-z'
'-y+1/4,x+3/4,z+1/4'
'y+1/4,-x+3/4,-z+1/4'
'-x+1/2,-y,z+1/2'
'x+1/2,y,-z+1/2'
'y+1/4,-x+1/4,z+3/4'
'-y+1/4,x+1/4,-z+3/4'
'x,-y,-z'
'-x,y,z'
'-y+1/4,-x+1/4,-z+3/4'
'y+1/4,x+1/4,z+3/4'
'-x+1/2,y,-z+1/2'
'x+1/2,-y,z+1/2'
'y+1/4,x+3/4,-z+1/4'
'-y+1/4,-x+3/4,z+1/4'
'x+1/2,y+1/2,z+1/2'
'-x+1/2,-y+1/2,-z+1/2'
'-y+3/4,x+1/4,z+3/4'
'y+3/4,-x+1/4,-z+3/4'
'-x,-y+1/2,z'
'x,y+1/2,-z'
'y+3/4,-x+3/4,z+1/4'
'-y+3/4,x+3/4,-z+1/4'
'x+1/2,-y+1/2,-z+1/2'
'-x+1/2,y+1/2,z+1/2'
'-y+3/4,-x+3/4,-z+1/4'
'y+3/4,x+3/4,z+1/4'
'-x,y+1/2,-z'
'x,-y+1/2,z'
'y+3/4,x+1/4,-z+3/4'
'-y+3/4,-x+1/4,z+3/4'
loop_
_atom_site_label
_atom_site_fract_x
_atom_site_fract_y
_atom_site_fract_z
_atom_site_occupancy
Te1 0.0000 0.2500 0.3138 1
C1 0.0000 0.2500 0.8750 1
```

Values from the calculation:
DOS(E_F) in states/eV/atom: 0.6172
ΔE_f (raw) in eV per formula unit: 5.4
Energy above the lowest structure with this stoichiometry in eV/atom: 1.058
Energy in eV per atom: -3.38

Entry 8:
TeC2 after structural relaxation, computed with PBE-GGA.

```
data_TeC2
_symmetry_space_group_name_H-M 'I m m a'
_symmetry_Int_Tables_number 74
_symmetry_space_group_name_Hall '-I 2b 2'
_cell_length_a 3.3631
_cell_length_b 8.0168
_cell_length_c 11.9777
_cell_angle_alpha 90.00
_cell_angle_beta 90.00
_cell_angle_gamma 90.00
loop_
_atom_site_label
_atom_site_fract_x
_atom_site_fract_y
_atom_site_fract_z
_atom_site_occupancy
Te1 0.0000 0.2500 0.0698 1
C1 0.0000 0.0754 0.4802 1
```

Values from the calculation:
DOS(E_F) in states/eV/atom: 0.3693
ΔE_f (raw) in eV per formula unit: 4.0
Energy above the lowest structure with this stoichiometry in eV/atom: 0.402
Energy in eV per atom: -5.88